Below is crystalline MgRe2Si at its relaxed geometry, with properties calculated at the GGA-PBEsol level.

```
MgRe2Si
1.0
4.667 -1.478 0.000
4.667 1.478 0.000
-1.422 0.000 4.169
Mg Re Si
1 2 1
direct
0.000 0.000 0.000
0.239 0.239 0.770
0.500 0.500 0.494
0.769 0.769 0.295
```

***

Below is crystalline MgRe3Sn at its relaxed geometry, with properties calculated at the GGA-PBEsol level.

```
MgRe3Sn
1.0
4.814 0.000 0.000
0.000 4.814 0.000
0.000 0.000 4.814
Mg Re Sn
1 3 1
direct
0.000 0.000 0.000
0.000 0.500 0.500
0.500 0.000 0.500
0.500 0.500 0.000
0.500 0.500 0.500
```

***

Below is crystalline Sr2MgRe at its relaxed geometry, with properties calculated at the GGA-PBEsol level.

```
Sr2MgRe
1.0
-2.542 2.542 4.132
2.542 -2.542 4.132
2.542 2.542 -4.132
Sr Mg Re
2 1 1
direct
0.250 0.750 0.500
0.750 0.250 0.500
0.000 0.000 0.000
0.500 0.500 0.000
```

***

Below is crystalline Sr2MgRe at its relaxed geometry, with properties calculated at the GGA-PBEsol level.

```
Sr2MgRe
1.0
3.153 0.000 0.000
0.000 5.002 0.000
-1.513 0.000 6.684
Sr Mg Re
2 1 1
direct
0.000 0.000 0.000
0.302 0.500 0.631
0.606 0.500 0.216
0.698 0.000 0.416
```

***

no.,raw total energy (eV/atom),magnetization (μB/f.u.)
1,-8.378,0.00
2,-6.559,1.22
3,-3.792,1.18
4,-3.879,0.00